Compound: Zn2Cd3Au3
Source: Alexandria via LeMat-Bulk
Functional: PBE
Structure: relaxed

```
data_Zn2Cd3Au3
_chemical_formula_sum 'Zn2 Cd3 Au3'
_symmetry_space_group_name_H-M 'P -6 2 m'
_symmetry_Int_Tables_number 189
_symmetry_space_group_name_Hall 'P -6 -2'
_cell_length_a 7.6048
_cell_length_b 7.6048
_cell_length_c 2.9551
_cell_angle_alpha 90.00
_cell_angle_beta 90.00
_cell_angle_gamma 120.00
loop_
_atom_site_label
_atom_site_type_symbol
_atom_site_fract_x
_atom_site_fract_y
_atom_site_fract_z
Zn1 Zn 0.3333 0.6667 0.0000
Cd1 Cd 0.0000 0.2448 0.0000
Au1 Au 0.0000 0.6083 0.5000
```

Summary:
The volume comes out at 148.0 Å³/f.u. Its uncorrected energy is -2.055 eV per atom. The calculation puts the energy of formation from the pure elements at -1.31 eV per formula unit. The density of states at the Fermi level comes out at 0.13 states/eV per atom.

---

Compound: ZnCdAu2
Source: Alexandria via LeMat-Bulk
Functional: PBE
Structure: relaxed

```
data_ZnCdAu2
_chemical_formula_sum 'Zn3 Cd3 Au6'
_symmetry_space_group_name_H-M 'R -3 m'
_symmetry_Int_Tables_number 166
_symmetry_space_group_name_Hall '-R 3 2"'
_cell_length_a 2.9932
_cell_length_b 2.9932
_cell_length_c 27.8594
_cell_angle_alpha 90.00
_cell_angle_beta 90.00
_cell_angle_gamma 120.00
loop_
_atom_site_label
_atom_site_type_symbol
_atom_site_fract_x
_atom_site_fract_y
_atom_site_fract_z
Zn1 Zn 0.0000 0.0000 0.0000
Cd1 Cd 0.0000 0.0000 0.5000
Au1 Au 0.0000 0.0000 0.2566
```

Summary:
The volume comes out at 72.1 Å³/f.u. Its uncorrected energy is -2.307 eV per atom. The calculation puts the energy of formation from the pure elements at -0.49 eV per formula unit. The density of states at the Fermi level comes out at 0.29 states/eV per atom.

---

Compound: Zn7Cd3Au4
Source: Alexandria via LeMat-Bulk
Functional: PBE
Structure: relaxed

```
data_Zn7Cd3Au4
_chemical_formula_sum 'Zn14 Cd6 Au8'
_symmetry_space_group_name_H-M 'C 1 2/m 1'
_symmetry_Int_Tables_number 12
_cell_length_a 14.1193
_cell_length_b 4.3457
_cell_length_c 10.7078
_cell_angle_alpha 90.00
_cell_angle_beta 131.16
_cell_angle_gamma 90.00
loop_
_symmetry_equiv_pos_as_xyz
'x,y,z'
'-x,-y,-z'
'-x,y,-z'
'x,-y,z'
'x+1/2,y+1/2,z'
'-x+1/2,-y+1/2,-z'
'-x+1/2,y+1/2,-z'
'x+1/2,-y+1/2,z'
loop_
_atom_site_label
_atom_site_type_symbol
_atom_site_fract_x
_atom_site_fract_y
_atom_site_fract_z
Zn1 Zn 0.0000 0.0000 0.0000
Zn2 Zn 0.0557 0.5000 0.8904
Zn3 Zn 0.1604 0.5000 0.4946
Zn4 Zn 0.1806 0.0000 0.9107
Cd1 Cd 0.0000 0.0000 0.5000
Cd2 Cd 0.1999 0.5000 0.2469
Au1 Au 0.0806 0.0000 0.3029
Au2 Au 0.1563 0.5000 0.7406
```

Summary:
The volume comes out at 247.3 Å³/f.u. Its uncorrected energy is -1.896 eV per atom. The calculation puts the energy of formation from the pure elements at -1.77 eV per formula unit. The density of states at the Fermi level comes out at 0.26 states/eV per atom.

---

Compound: ZnCdAu2
Source: Alexandria via LeMat-Bulk
Functional: PBE
Structure: relaxed

```
data_ZnCdAu2
_chemical_formula_sum 'Zn2 Cd2 Au4'
_symmetry_space_group_name_H-M 'C 1 m 1'
_symmetry_Int_Tables_number 8
_cell_length_a 9.9967
_cell_length_b 3.1806
_cell_length_c 4.7603
_cell_angle_alpha 90.00
_cell_angle_beta 108.20
_cell_angle_gamma 90.00
loop_
_symmetry_equiv_pos_as_xyz
'x,y,z'
'x,-y,z'
'x+1/2,y+1/2,z'
'x+1/2,-y+1/2,z'
loop_
_atom_site_label
_atom_site_type_symbol
_atom_site_fract_x
_atom_site_fract_y
_atom_site_fract_z
Zn1 Zn 0.0000 0.0000 0.0000
Cd1 Cd 0.2465 0.0000 0.6786
Au1 Au 0.2332 0.5000 0.1639
Au2 Au 0.4900 0.0000 0.4833
```

Summary:
The volume comes out at 71.9 Å³/f.u. Its uncorrected energy is -2.327 eV per atom. The calculation puts the energy of formation from the pure elements at -0.56 eV per formula unit. The density of states at the Fermi level comes out at 0.15 states/eV per atom.

---

Compound: Zn5CdAu4
Source: Alexandria via LeMat-Bulk
Functional: PBE
Structure: relaxed

```
data_Zn5CdAu4
_chemical_formula_sum 'Zn5 Cd1 Au4'
_symmetry_space_group_name_H-M 'P -1'
_symmetry_Int_Tables_number 2
_cell_length_a 4.4306
_cell_length_b 5.7364
_cell_length_c 7.2958
_cell_angle_alpha 73.27
_cell_angle_beta 72.84
_cell_angle_gamma 89.79
loop_
_symmetry_equiv_pos_as_xyz
'x,y,z'
'-x,-y,-z'
loop_
_atom_site_label
_atom_site_type_symbol
_atom_site_fract_x
_atom_site_fract_y
_atom_site_fract_z
Zn1 Zn 0.0000 0.0000 0.0000
Zn2 Zn 0.2115 0.3365 0.5764
Zn3 Zn 0.3927 0.1817 0.2092
Cd1 Cd 0.0000 0.5000 0.0000
Au1 Au 0.2127 0.8210 0.5770
Au2 Au 0.4058 0.7077 0.1865
```

Summary:
The volume comes out at 169.0 Å³/f.u. Its uncorrected energy is -2.207 eV per atom. The calculation puts the energy of formation from the pure elements at -1.68 eV per formula unit. The density of states at the Fermi level comes out at 0.21 states/eV per atom.

---

Compound: ZnCdAu4
Source: Alexandria via LeMat-Bulk
Functional: PBE
Structure: relaxed

```
data_ZnCdAu4
_chemical_formula_sum 'Zn4 Cd4 Au16'
_symmetry_space_group_name_H-M 'F -4 3 m'
_symmetry_Int_Tables_number 216
_symmetry_space_group_name_Hall 'F -4 2 3'
_cell_length_a 7.8277
_cell_length_b 7.8277
_cell_length_c 7.8277
_cell_angle_alpha 90.00
_cell_angle_beta 90.00
_cell_angle_gamma 90.00
loop_
_atom_site_label
_atom_site_type_symbol
_atom_site_fract_x
_atom_site_fract_y
_atom_site_fract_z
Zn1 Zn 0.0000 0.0000 0.0000
Cd1 Cd 0.2500 0.2500 0.2500
Au1 Au 0.1251 0.1251 0.6251
```

Summary:
The volume comes out at 119.9 Å³/f.u. Its uncorrected energy is -2.545 eV per atom. The calculation puts the energy of formation from the pure elements at 0.03 eV per formula unit. The calculation puts the energy above the most stable polymorph in this dataset at 0.757 eV/f.u. The density of states at the Fermi level comes out at 0.35 states/eV per atom.